1.
The following is a DFT calculation (GGA-PBE) of crystalline Ce8Ir3SI4 at its relaxed geometry.

For the uncorrected formation energy, the calculation gives -1.0240 eV per atom. As for the crystal system: trigonal. As for the density of states at the Fermi level: 2.79 states/eV/atom. As for the magnetization: 8.48 μB/f.u. The final energy is -6.30 eV/atom.

The space group is R-3m (No. 166, hexagonal axes) and the conventional cell measures 8.3443, 8.3443 and 23.5909 Å, with angles of 90.00, 90.00 and 120.00 degrees. The asymmetric unit holds Ce at (0.0000, 0.0000, 0.2280), Ce at (0.0025, 0.5013, 0.7697), Ir at (0.0000, 0.5000, 0.5000), S at (0.0000, 0.0000, 0.5000), I at (0.0000, 0.0000, 0.0000) and I at (0.0000, 0.5000, 0.0000).



2.
The following is a DFT calculation (GGA-PBE) of crystalline NbTe2ICl at its relaxed geometry.

For the uncorrected formation energy, the calculation gives 1.1282 eV per atom. As for the crystal system: tetragonal. As for the density of states at the Fermi level: 1.06 states/eV/atom. As for the magnetization: 2.19 μB/f.u. The final energy is -2.82 eV/atom.

The space group is P4/mmm (No. 123) and the conventional cell measures 5.456, 5.456 and 5.320 Å, with angles of 90.00, 90.00 and 90.00 degrees. The asymmetric unit holds Nb at (0.000, 0.000, 0.000), Te at (0.000, 0.500, 0.500), I at (0.500, 0.500, 0.000) and Cl at (0.500, 0.500, 0.500).



3.
The following is a DFT calculation (GGA-PBE) of crystalline Rb2AlOs at its relaxed geometry.

As for the crystal system: tetragonal. As for the density of states at the Fermi level: 0.45 states/eV/atom. As for the magnetization: 0.85 μB/f.u. The final energy is -2.83 eV/atom. As for the formation energy: 1.397 eV/atom.

The space group is I-42d (No. 122) and the conventional cell measures 4.107, 4.107 and 24.377 Å, with angles of 90.00, 90.00 and 90.00 degrees. The asymmetric unit holds Rb at (0.248, 0.250, 0.125), Al at (0.000, 0.000, 0.500) and Os at (0.000, 0.000, 0.000).



4.
The following is a DFT calculation (GGA-PBE) of crystalline Pb2Au at its relaxed geometry.

As for the crystal system: cubic. As for the density of states at the Fermi level: 1.00 states/eV/atom. As for the magnetization: 0.00 μB/f.u. The final energy is -3.12 eV/atom. As for the formation energy: 0.442 eV/atom.

The space group is Fd-3m (No. 227, origin choice 2) and the conventional cell measures 8.940, 8.940 and 8.940 Å, with angles of 90.00, 90.00 and 90.00 degrees. The asymmetric unit holds Pb at (0.000, 0.000, 0.000) and Au at (0.125, 0.125, 0.625).



5.
The following is a DFT calculation (GGA-PBE) of crystalline Tl2Pb2I at its relaxed geometry.

For the uncorrected formation energy, the calculation gives 0.0341 eV per atom. As for the crystal system: tetragonal. As for the density of states at the Fermi level: 0.57 states/eV/atom. As for the magnetization: 0.00 μB/f.u. The final energy is -2.71 eV/atom.

The space group is I4/mmm (No. 139) and the conventional cell measures 4.494, 4.494 and 17.022 Å, with angles of 90.00, 90.00 and 90.00 degrees. The asymmetric unit holds Tl at (0.000, 0.500, 0.250), Pb at (0.000, 0.000, 0.102) and I at (0.000, 0.000, 0.500).



6.
The following is a DFT calculation (GGA-PBE) of crystalline CrI2N2 at its relaxed geometry.

For the uncorrected formation energy, the calculation gives 1.1553 eV per atom. As for the crystal system: tetragonal. As for the density of states at the Fermi level: 0.63 states/eV/atom. As for the magnetization: 1.63 μB/f.u. The final energy is -4.72 eV/atom.

The space group is P4/mmm (No. 123) and the conventional cell measures 5.604, 5.604 and 3.574 Å, with angles of 90.00, 90.00 and 90.00 degrees. The asymmetric unit holds Cr at (0.000, 0.000, 0.000), I at (0.000, 0.500, 0.000), N at (0.000, 0.000, 0.500) and N at (0.500, 0.500, 0.500).



7.
The following is a DFT calculation (GGA-PBE) of crystalline HfPaRu at its relaxed geometry.

As for the crystal system: tetragonal. As for the density of states at the Fermi level: 2.06 states/eV/atom. As for the magnetization: 0.00 μB/f.u. The final energy is -9.84 eV/atom. As for the formation energy: -0.264 eV/atom.

The space group is I4mm (No. 107) and the conventional cell measures 3.230, 3.230 and 11.914 Å, with angles of 90.00, 90.00 and 90.00 degrees. The asymmetric unit holds Hf at (0.000, 0.000, 0.000), Pa at (0.000, 0.000, 0.708) and Ru at (0.000, 0.000, 0.367).



8.
The following is a DFT calculation (GGA-PBE) of crystalline Sr2Mg12AlZn3 at its relaxed geometry.

As for the crystal system: trigonal. As for the density of states at the Fermi level: 0.51 states/eV/atom. As for the magnetization: 0.00 μB/f.u. The final energy is -1.40 eV/atom. As for the formation energy: 0.269 eV/atom.

The space group is R-3m (No. 166, hexagonal axes) and the conventional cell measures 9.5837, 9.5837 and 20.4143 Å, with angles of 90.00, 90.00 and 120.00 degrees. The asymmetric unit holds Sr at (0.0000, 0.0000, 0.0997), Mg at (0.0045, 0.5022, 0.1277), Mg at (0.0563, 0.5281, 0.3503), Al at (0.0000, 0.0000, 0.5000) and Zn at (0.0000, 0.5000, 0.0000).



9.
The following is a DFT calculation (GGA-PBE) of crystalline AcSmHo6 at its relaxed geometry.

As for the crystal system: monoclinic. As for the density of states at the Fermi level: 1.97 states/eV/atom. As for the magnetization: 0.00 μB/f.u. The final energy is -4.13 eV/atom. As for the formation energy: 0.403 eV/atom.

The space group is C2/m (No. 12) and the conventional cell measures 9.694, 6.968 and 8.891 Å, with angles of 90.00, 102.73 and 90.00 degrees. The asymmetric unit holds Ac at (0.000, 0.000, 0.000), Sm at (0.000, 0.500, 0.500), Ho at (0.122, 0.500, 0.919) and Ho at (0.217, 0.261, 0.299).



10.
The following is a DFT calculation (GGA-PBE) of crystalline HfTaI2 at its relaxed geometry.

For the uncorrected formation energy, the calculation gives 0.6823 eV per atom. As for the crystal system: tetragonal. As for the density of states at the Fermi level: 1.33 states/eV/atom. As for the magnetization: 0.00 μB/f.u. The final energy is -5.54 eV/atom.

The space group is I-42d (No. 122) and the conventional cell measures 4.755, 4.755 and 18.528 Å, with angles of 90.00, 90.00 and 90.00 degrees. The asymmetric unit holds Hf at (0.000, 0.000, 0.000), Ta at (0.000, 0.000, 0.500) and I at (0.245, 0.250, 0.625).



11.
The following is a DFT calculation (GGA-PBE) of crystalline PmPr5YHo2 at its relaxed geometry.

As for the crystal system: orthorhombic. As for the density of states at the Fermi level: 1.61 states/eV/atom. As for the magnetization: 0.00 μB/f.u. The final energy is -4.77 eV/atom. As for the formation energy: 0.146 eV/atom.

The space group is Cmc2_1 (No. 36) and the conventional cell measures 5.692, 20.704 and 10.785 Å, with angles of 90.00, 90.00 and 90.00 degrees. The asymmetric unit holds Pm at (0.000, 0.201, 0.000), Pr at (0.000, 0.015, 0.009), Pr at (0.000, 0.279, 0.301), Pr at (0.000, 0.295, 0.694), Pr at (0.000, 0.388, 0.014), Pr at (0.000, 0.482, 0.735), Y at (0.000, 0.408, 0.452), Ho at (0.000, 0.112, 0.729) and Ho at (0.000, 0.116, 0.301).



12.
The following is a DFT calculation (GGA-PBE) of crystalline Tb2MgSc at its relaxed geometry.

As for the crystal system: monoclinic. As for the density of states at the Fermi level: 1.29 states/eV/atom. As for the magnetization: 0.00 μB/f.u. The final energy is -4.24 eV/atom. As for the formation energy: 0.052 eV/atom.

The space group is Cm (No. 8) and the conventional cell measures 5.894, 3.407 and 11.434 Å, with angles of 90.00, 99.83 and 90.00 degrees. The asymmetric unit holds Tb at (0.000, 0.000, 0.000), Tb at (0.173, 0.000, 0.517), Mg at (0.253, 0.500, 0.259) and Sc at (0.086, 0.500, 0.758).